w.
Below is a relaxed SrCd4Hg6 crystal, with properties calculated at the PBE-GGA level.

Summary:
* D(E_F): 0.463 states/eV/atom

Unit cell a=7.695 b=7.695 c=10.732 alpha=90.00 beta=90.00 gamma=90.00
Space group I-42m (No. 121)
One atom of each set of equivalent atoms:
1 Sr 0.000 0.000 0.000 [2 per cell]
2 Cd 0.177 0.177 0.570 [8 per cell]
3 Hg 0.000 0.500 0.000 [4 per cell]
4 Hg 0.164 0.164 0.281 [8 per cell]

x.
Below is a relaxed SrCd4Hg6 crystal, with properties calculated at the PBE-GGA level.

Summary:
* D(E_F): 0.339 states/eV/atom

Unit cell a=8.1174 b=8.1174 c=5.0467 alpha=90.00 beta=90.00 gamma=120.00
Space group P-6 (No. 174)
One atom of each set of equivalent atoms:
1 Sr 0.0000 0.0000 0.0000 [1 per cell]
2 Cd 0.1547 0.7314 0.5000 [3 per cell]
3 Cd 0.6667 0.3333 0.0000 [1 per cell]
4 Hg 0.0825 0.4646 0.0000 [3 per cell]
5 Hg 0.3909 0.1547 0.5000 [3 per cell]

Most stable: x

w.
Below is a relaxed Sr2CdHg2 crystal, with properties calculated at the PBE-GGA level.

Summary:
* D(E_F): 0.700 states/eV/atom

Unit cell a=6.349 b=6.349 c=8.786 alpha=90.00 beta=90.00 gamma=90.00
Space group I4/mmm (No. 139)
One atom of each set of equivalent atoms:
1 Sr 0.000 0.500 0.250 [4 per cell]
2 Cd 0.000 0.000 0.000 [2 per cell]
3 Hg 0.000 0.000 0.341 [4 per cell]

x.
Below is a relaxed Sr2CdHg2 crystal, with properties calculated at the PBE-GGA level.

Summary:
* D(E_F): 0.677 states/eV/atom

Unit cell a=9.106 b=9.106 c=4.131 alpha=90.00 beta=90.00 gamma=90.00
Space group P4/mbm (No. 127)
One atom of each set of equivalent atoms:
1 Sr 0.158 0.342 0.000 [4 per cell]
2 Cd 0.000 0.000 0.000 [2 per cell]
3 Hg 0.137 0.637 0.500 [4 per cell]

y.
Below is a relaxed Sr2CdHg2 crystal, with properties calculated at the PBE-GGA level.

Summary:
* D(E_F): 0.685 states/eV/atom

Unit cell a=8.535 b=8.535 c=4.387 alpha=90.00 beta=90.00 gamma=90.00
Space group P4/mbm (No. 127)
One atom of each set of equivalent atoms:
1 Sr 0.172 0.328 0.000 [4 per cell]
2 Cd 0.000 0.000 0.500 [2 per cell]
3 Hg 0.130 0.630 0.500 [4 per cell]

Most stable: y

w.
Below is a relaxed Sr2CdHg2 crystal, with properties calculated at the PBE-GGA level.

Summary:
* D(E_F): 0.720 states/eV/atom

Unit cell a=12.558 b=4.741 c=12.012 alpha=90.00 beta=116.90 gamma=90.00
Space group C2/m (No. 12)
One atom of each set of equivalent atoms:
1 Sr 0.003 0.000 0.333 [4 per cell]
2 Sr 0.189 0.000 0.112 [4 per cell]
3 Cd 0.213 0.500 0.350 [4 per cell]
4 Hg 0.031 0.500 0.887 [4 per cell]
5 Hg 0.138 0.500 0.567 [4 per cell]

x.
Below is a relaxed Sr2CdHg2 crystal, with properties calculated at the PBE-GGA level.

Summary:
* D(E_F): 0.595 states/eV/atom

Unit cell a=4.325 b=4.325 c=18.440 alpha=90.00 beta=90.00 gamma=90.00
Space group I4/mmm (No. 139)
One atom of each set of equivalent atoms:
1 Sr 0.000 0.000 0.106 [4 per cell]
2 Cd 0.000 0.000 0.500 [2 per cell]
3 Hg 0.000 0.500 0.250 [4 per cell]

Most stable: w

w.
Below is a relaxed Sr2Cd2Hg5 crystal, with properties calculated at the PBE-GGA level.

Summary:
* D(E_F): 0.474 states/eV/atom

Unit cell a=5.143 b=5.143 c=9.703 alpha=90.00 beta=90.00 gamma=90.00
Space group P4/mmm (No. 123)
One atom of each set of equivalent atoms:
1 Sr 0.000 0.000 0.000 [1 per cell]
2 Sr 0.000 0.000 0.500 [1 per cell]
3 Cd 0.500 0.500 0.141 [2 per cell]
4 Hg 0.000 0.500 0.276 [4 per cell]
5 Hg 0.500 0.500 0.500 [1 per cell]

x.
Below is a relaxed Sr2Cd2Hg5 crystal, with properties calculated at the PBE-GGA level.

Summary:
* D(E_F): 0.512 states/eV/atom

Unit cell a=18.833 b=7.588 c=7.303 alpha=90.00 beta=90.00 gamma=90.00
Space group Ima2 (No. 46)
One atom of each set of equivalent atoms:
1 Sr 0.120 0.058 0.000 [8 per cell]
2 Cd 0.000 0.000 0.643 [4 per cell]
3 Cd 0.250 0.731 0.760 [4 per cell]
4 Hg 0.034 0.681 0.803 [8 per cell]
5 Hg 0.157 0.518 0.030 [8 per cell]
6 Hg 0.250 0.238 0.256 [4 per cell]

Most stable: w

w.
Below is a relaxed Sr4Cd3Hg crystal, with properties calculated at the PBE-GGA level.

Summary:
* D(E_F): 1.116 states/eV/atom

Unit cell a=4.459 b=5.065 c=12.547 alpha=90.00 beta=90.00 gamma=90.00
Space group Pmm2 (No. 25)
One atom of each set of equivalent atoms:
1 Sr 0.000 0.000 0.000 [1 per cell]
2 Sr 0.000 0.500 0.284 [1 per cell]
3 Sr 0.500 0.000 0.492 [1 per cell]
4 Sr 0.500 0.500 0.788 [1 per cell]
5 Cd 0.000 0.000 0.711 [1 per cell]
6 Cd 0.000 0.500 0.570 [1 per cell]
7 Cd 0.500 0.500 0.069 [1 per cell]
8 Hg 0.500 0.000 0.216 [1 per cell]

x.
Below is a relaxed Sr4Cd3Hg crystal, with properties calculated at the PBE-GGA level.

Summary:
* D(E_F): 0.850 states/eV/atom

Unit cell a=3.995 b=3.995 c=16.544 alpha=90.00 beta=90.00 gamma=90.00
Space group P4/mmm (No. 123)
One atom of each set of equivalent atoms:
1 Sr 0.000 0.000 0.121 [2 per cell]
2 Sr 0.000 0.000 0.374 [2 per cell]
3 Cd 0.500 0.500 0.249 [2 per cell]
4 Cd 0.500 0.500 0.500 [1 per cell]
5 Hg 0.500 0.500 0.000 [1 per cell]

Most stable: x